1.
The following is a SCAN calculation of TlTe2Se at its PBEsol-relaxed geometry, from Alexandria via LeMat-Bulk.

Properties
The volume is 26.37 Å³ per atom. The formation energy from raw total energies is 283 meV per atom. For the theoretical density, the calculation gives 8.5 g cm⁻³. For the total energy, the calculation gives -41.452 eV per atom. The value obtained for the size of the total moment is 0.00 μB/cell.

Lattice parameters (Å, degrees): 3.440 4.851 6.320 90.00 90.00 90.00
Positions (direct):
Se  0.500  0.500  0.500
Te  0.000  0.000  0.727
Te  0.000  0.000  0.273
Tl  0.500  0.500  0.000


2.
The following is a SCAN calculation of TlTe2Se at its PBEsol-relaxed geometry, from Alexandria via LeMat-Bulk.

Properties
The volume is 28.91 Å³ per atom. The formation energy from raw total energies is -96 meV per atom. For the theoretical density, the calculation gives 7.7 g cm⁻³. For the total energy, the calculation gives -41.830 eV per atom. The value obtained for the size of the total moment is 0.00 μB/cell.

Lattice parameters (Å, degrees): 4.342 4.342 6.133 90.00 90.00 90.00
Positions (direct):
Tl  0.000  0.000  0.625
Te  0.000  0.000  0.125
Te  0.500  0.500  0.125
Se  0.500  0.500  0.625


3.
The following is a SCAN calculation of Tl2TeSe2 at its PBEsol-relaxed geometry, from Alexandria via LeMat-Bulk.

Properties
The volume is 27.97 Å³ per atom. The formation energy from raw total energies is -186 meV per atom. For the theoretical density, the calculation gives 8.2 g cm⁻³. For the total energy, the calculation gives -44.611 eV per atom. The value obtained for the size of the total moment is 0.00 μB/cell.

Lattice parameters (Å, degrees): 4.691 7.721 7.721 90.00 90.00 90.00
Positions (direct):
Tl  0.500  0.148  0.648
Tl  0.500  0.648  0.852
Tl  0.500  0.852  0.352
Tl  0.500  0.352  0.148
Te  0.000  0.000  0.000
Te  0.000  0.500  0.500
Se  0.000  0.330  0.830
Se  0.000  0.830  0.670
Se  0.000  0.670  0.170
Se  0.000  0.170  0.330


4.
The following is a SCAN calculation of TlTeSe2 at its PBEsol-relaxed geometry, from Alexandria via LeMat-Bulk.

Properties
The volume is 27.11 Å³ per atom. The formation energy from raw total energies is -105 meV per atom. For the theoretical density, the calculation gives 7.5 g cm⁻³. For the total energy, the calculation gives -37.547 eV per atom. The calculation puts the excess energy over the best structure of this formula in the dataset at 46 meV per atom. The value obtained for the size of the total moment is 0.00 μB/cell.

Lattice parameters (Å, degrees): 4.309 4.309 6.986 72.44 72.44 63.39
Positions (direct):
Tl  0.000  0.000  0.500
Te  0.500  0.500  0.000
Se  0.255  0.255  0.775
Se  0.745  0.745  0.225


5.
The following is a SCAN calculation of TlTeSe2 at its PBEsol-relaxed geometry, from Alexandria via LeMat-Bulk.

Properties
The volume is 31.04 Å³ per atom. The formation energy from raw total energies is -113 meV per atom. For the theoretical density, the calculation gives 6.6 g cm⁻³. For the total energy, the calculation gives -37.555 eV per atom. The calculation puts the excess energy over the best structure of this formula in the dataset at 38 meV per atom. The value obtained for the size of the total moment is 0.00 μB/cell.

Lattice parameters (Å, degrees): 4.103 4.103 7.375 90.00 90.00 90.00
Positions (direct):
Tl  0.500  0.500  0.831
Te  0.000  0.000  0.328
Se  0.000  0.000  0.985
Se  0.500  0.500  0.356


6.
The following is a SCAN calculation of TlTeSe2 at its PBEsol-relaxed geometry, from Alexandria via LeMat-Bulk.

Properties
The volume is 27.57 Å³ per atom. The formation energy from raw total energies is -151 meV per atom. For the theoretical density, the calculation gives 7.4 g cm⁻³. For the total energy, the calculation gives -37.592 eV per atom. The calculation puts the excess energy over the best structure of this formula in the dataset at 0 meV per atom. The value obtained for the size of the total moment is 0.00 μB/cell.

Lattice parameters (Å, degrees): 3.839 3.797 7.565 90.00 90.00 90.00
Positions (direct):
Tl  0.500  0.500  0.500
Te  0.500  0.000  0.000
Se  0.000  0.000  0.740
Se  0.000  0.000  0.260


7.
The following is a SCAN calculation of TlTe2Se at its PBEsol-relaxed geometry, from Alexandria via LeMat-Bulk.

Properties
The volume is 28.93 Å³ per atom. The formation energy from raw total energies is 144 meV per atom. For the theoretical density, the calculation gives 7.7 g cm⁻³. For the total energy, the calculation gives -41.591 eV per atom. The value obtained for the size of the total moment is 0.00 μB/cell.

Lattice parameters (Å, degrees): 2.948 5.971 7.221 114.42 90.00 90.00
Positions (direct):
Se  0.500  0.500  0.000
Te  0.000  0.000  0.500
Te  0.000  0.500  0.500
Tl  0.500  0.000  0.000


8.
The following is a SCAN calculation of TlTe2Se at its PBEsol-relaxed geometry, from Alexandria via LeMat-Bulk.

Properties
The volume is 28.97 Å³ per atom. The formation energy from raw total energies is -44 meV per atom. For the theoretical density, the calculation gives 7.7 g cm⁻³. For the total energy, the calculation gives -41.779 eV per atom. The value obtained for the size of the total moment is 0.00 μB/cell.

Lattice parameters (Å, degrees): 4.507 4.507 7.081 71.44 71.44 60.00
Positions (direct):
Tl  0.507  0.507  0.478
Te  0.994  0.994  0.019
Te  0.744  0.744  0.769
Se  0.255  0.255  0.234


9.
The following is a SCAN calculation of TlTe2Se at its PBEsol-relaxed geometry, from Alexandria via LeMat-Bulk.

Properties
The volume is 27.64 Å³ per atom. The formation energy from raw total energies is 195 meV per atom. For the theoretical density, the calculation gives 8.1 g cm⁻³. For the total energy, the calculation gives -41.540 eV per atom. The value obtained for the size of the total moment is 0.00 μB/cell.

Lattice parameters (Å, degrees): 3.393 3.393 11.265 81.34 81.34 60.00
Positions (direct):
Tl  0.500  0.500  0.500
Te  0.919  0.919  0.242
Te  0.081  0.081  0.758
Se  0.000  0.000  0.000


10.
The following is a SCAN calculation of TlTe2Se at its PBEsol-relaxed geometry, from Alexandria via LeMat-Bulk.

Properties
The volume is 29.55 Å³ per atom. The formation energy from raw total energies is -96 meV per atom. For the theoretical density, the calculation gives 7.6 g cm⁻³. For the total energy, the calculation gives -41.831 eV per atom. The value obtained for the size of the total moment is 0.00 μB/cell.

Lattice parameters (Å, degrees): 4.020 3.659 8.036 89.99 90.00 90.00
Positions (direct):
Tl  0.000  0.500  0.534
Te  0.000  0.000  0.982
Te  0.500  0.000  0.247
Se  0.500  0.000  0.737


11.
The following is a SCAN calculation of TlTeSe at its PBEsol-relaxed geometry, from Alexandria via LeMat-Bulk.

Properties
The volume is 26.43 Å³ per atom. The formation energy from raw total energies is 123 meV per atom. For the theoretical density, the calculation gives 8.6 g cm⁻³. For the total energy, the calculation gives -43.107 eV per atom. The calculation puts the excess energy over the best structure of this formula in the dataset at 44 meV per atom. The value obtained for the size of the total moment is 0.00 μB/cell.

Lattice parameters (Å, degrees): 3.055 5.475 5.475 120.00 90.00 90.00
Positions (direct):
Se  0.000  0.000  0.000
Te  0.000  0.333  0.667
Tl  0.500  0.667  0.333


12.
The following is a SCAN calculation of TlTe2Se at its PBEsol-relaxed geometry, from Alexandria via LeMat-Bulk.

Properties
The volume is 29.70 Å³ per atom. The formation energy from raw total energies is -119 meV per atom. For the theoretical density, the calculation gives 7.5 g cm⁻³. For the total energy, the calculation gives -41.854 eV per atom. The value obtained for the size of the total moment is 0.00 μB/cell.

Lattice parameters (Å, degrees): 4.422 4.471 6.679 109.55 106.27 90.00
Positions (direct):
Tl  0.500  0.500  0.000
Te  0.763  0.765  0.529
Te  0.237  0.235  0.471
Se  0.000  0.000  0.000